# Sc5Ti3H12

Crystalline Sc5Ti3H12 at its relaxed geometry (PBE-GGA, Alexandria via LeMat-Bulk).

The value obtained for the mass density is 3.3 g/cm3. The value obtained for the final energy is -5.18 eV/atom. Its volume is 1541 Å³ per cell.

Unit cell a=11.5516 b=11.5516 c=11.5516 alpha=90.00 beta=90.00 gamma=90.00
Closest atoms and distances in Å follow each position.
Space group Ia-3d (No. 230)
Asymmetric unit:
Sc  0.0000  0.0000  0.0000 x16  6 H 2.00
Sc  0.0000  0.2500  0.3750 x24  4 H 1.98
Ti  0.0000  0.2500  0.1250 x24  8 H 1.96-2.11
H  0.0014  0.0707  0.1582 x96  1 H 1.94, 2 Ti 1.96-2.11, 2 Sc 1.98-2.00



# RbLa3Al

Crystalline RbLa3Al at its relaxed geometry (PBE-GGA, Alexandria via LeMat-Bulk).

The calculated formation energy comes out at 1.108 eV/atom. The value obtained for the mass density is 4.9 g/cm3. The value obtained for the final energy is -2.79 eV/atom. The value obtained for the energy above the lowest structure with this stoichiometry is 776.3 meV/atom. Its volume is 179 Å³ per cell.

Unit cell a=5.6355 b=5.6355 c=5.6355 alpha=90.00 beta=90.00 gamma=90.00
Closest atoms and distances in Å follow each position.
Space group Pm-3m (No. 221)
Asymmetric unit:
Rb  0.0000  0.0000  0.0000 x1  6 La 2.82
La  0.0000  0.0000  0.5000 x3  2 Rb 2.82
Al  0.5000  0.5000  0.5000 x1  12 La 3.98



# Ce2ThAs3

Crystalline Ce2ThAs3 at its relaxed geometry (PBE-GGA, Alexandria via LeMat-Bulk).

The calculated formation energy comes out at -1.432 eV/atom. The value obtained for the mass density is 7.6 g/cm3. The value obtained for the final energy is -6.97 eV/atom. Its volume is 322 Å³ per cell.

Unit cell a=4.2333 b=5.9889 c=12.7017 alpha=90.00 beta=90.00 gamma=90.00
Closest atoms and distances in Å follow each position.
Space group Immm (No. 71)
Asymmetric unit:
Ce  0.0000  0.0000  0.1667 x4  6 As 2.98-2.99
Th  0.0000  0.0000  0.5000 x2  6 As 2.99-3.00
As  0.0000  0.5000  0.1676 x4  4 Ce 2.98-2.99, 2 Th 3.00
As  0.0000  0.5000  0.5000 x2  4 Ce 2.99, 2 Th 2.99



- The highest final energy belongs to which entry?
  RbLa3Al



- Among the records above, which one has the highest mass density?
  Ce2ThAs3



- Which formula does entry 3 have?
  Ce2ThAs3



- The lowest mass density belongs to which entry?
  Sc5Ti3H12